[1]
Entry from OQMD: a geometry-optimized GdDy2CdPd4 structure (GGA-PBE).

It has space group P4/mmm (No. 123), with a = 4.896 Å, b = 4.896 Å, c = 6.907 Å, α = 90.00°, β = 90.00° and γ = 90.00°. The inequivalent atoms are Gd at (0.000, 0.000, 0.000), Dy at (0.000, 0.000, 0.500), Dy at (0.500, 0.500, 0.000), Cd at (0.500, 0.500, 0.500) and Pd at (0.000, 0.500, 0.250).

Its calculated formation energy is -0.7978 eV per atom.

---

[2]
Entry from OQMD: a geometry-optimized PrMgSi structure (GGA-PBE).

It has space group F-43m (No. 216), with a = 6.994 Å, b = 6.994 Å, c = 6.994 Å, α = 90.00°, β = 90.00° and γ = 90.00°. The inequivalent atoms are Pr at (0.000, 0.000, 0.000), Mg at (0.250, 0.250, 0.750) and Si at (0.250, 0.250, 0.250).

Its electronic total energy is -3.740 eV per atom.

---

[3]
Entry from OQMD: a geometry-optimized Gd3ScPb2C2 structure (GGA-PBE).

It has space group P3m1 (No. 156), with a = 3.6046 Å, b = 3.6046 Å, c = 16.1216 Å, α = 90.00°, β = 90.00° and γ = 120.00°. The inequivalent atoms are Gd at (0.0000, 0.0000, 0.0000), Gd at (0.0000, 0.0000, 0.3414), Gd at (0.3333, 0.6667, 0.5116), Sc at (0.3333, 0.6667, 0.8422), Pb at (0.0000, 0.0000, 0.6842), Pb at (0.3333, 0.6667, 0.1704), C at (0.6667, 0.3333, 0.4263) and C at (0.6667, 0.3333, 0.9151).

Its electronic total energy is -6.232 eV per atom.

---

[4]
Entry from OQMD: a geometry-optimized LuTlAgTe3 structure (GGA-PBE).

It has space group Cmcm (No. 63), with a = 4.179 Å, b = 15.553 Å, c = 11.291 Å, α = 90.00°, β = 90.00° and γ = 90.00°. The inequivalent atoms are Lu at (0.000, 0.000, 0.000), Tl at (0.000, 0.238, 0.250), Ag at (0.000, 0.462, 0.750), Te at (0.000, 0.082, 0.750) and Te at (0.000, 0.362, 0.544).

Its electronic total energy is -3.836 eV per atom.

---

[5]
Entry from OQMD: a geometry-optimized K2NbF6 structure (GGA-PBE).

It has space group P6_3mc (No. 186), with a = 5.5773 Å, b = 5.5773 Å, c = 8.9224 Å, α = 90.00°, β = 90.00° and γ = 120.00°. The inequivalent atoms are K at (0.0000, 0.0000, 0.0000), K at (0.3333, 0.6667, 0.2374), Nb at (0.3333, 0.6667, 0.8489), F at (0.0050, 0.5025, 0.9853) and F at (0.1581, 0.3161, 0.7345).

Its electronic total energy is -5.435 eV per atom.

---

[6]
Entry from OQMD: a geometry-optimized DyTeAs structure (GGA-PBE).

It has space group P6_3/mmc (No. 194), with a = 5.4099 Å, b = 5.4099 Å, c = 5.9724 Å, α = 90.00°, β = 90.00° and γ = 120.00°. The inequivalent atoms are Dy at (0.3333, 0.6667, 0.2500), Te at (0.3333, 0.6667, 0.7500) and As at (0.0000, 0.0000, 0.0000).

Its electronic total energy is -4.848 eV per atom.

---

[7]
Entry from OQMD: a geometry-optimized LiTmNb structure (GGA-PBE).

It has space group F-43m (No. 216), with a = 6.764 Å, b = 6.764 Å, c = 6.764 Å, α = 90.00°, β = 90.00° and γ = 90.00°. The inequivalent atoms are Li at (0.000, 0.000, 0.000), Tm at (0.250, 0.250, 0.250) and Nb at (0.000, 0.000, 0.500).

Its distance to the lowest polymorph of the same formula is 119 meV/atom.

---

[8]
Entry from OQMD: a geometry-optimized LiHoCd structure (GGA-PBE).

It has space group F-43m (No. 216), with a = 6.915 Å, b = 6.915 Å, c = 6.915 Å, α = 90.00°, β = 90.00° and γ = 90.00°. The inequivalent atoms are Li at (0.000, 0.000, 0.000), Ho at (0.250, 0.250, 0.750) and Cd at (0.000, 0.000, 0.500).

Its electronic total energy is -2.053 eV per atom.